Material: YInNi2
Method: DFT, GGA-PBEsol
State: optimized geometry

Calculated values
ΔH_f (0 K) = -0.78 eV per formula unit

Unit cell a=3.3729 b=4.3839 c=5.3538 alpha=114.17 beta=108.36 gamma=90.00
Closest atoms and distances in Å follow each position.
Fractional coordinates of all 4 atoms:
Ni  0.2821  0.7821  0.5643  2 Ni 2.44
Ni  0.9749  0.9749  0.9498  2 Ni 2.44
In  0.7320  0.2320  0.4640  8 Ni 2.80-3.13, 4 Y 2.99-3.06
Y  0.5110  0.5110  0.0219  8 Ni 2.79-3.03, 4 In 2.99-3.06